Computed, not measured: an optimized crystal structure of Mn2AsSe at the PBE level of DFT.

Calculated volume ... 73 Å³/cell
E_tot ... -6.81 eV/atom
Space-group type ... No. 10

a b c (Å): 3.717 6.450 5.279
angles (deg): 35.31 90.00 90.00
Each line ends with the local moment (μB).
Atoms (fractional coordinates):
Mn  0.000  0.000  0.000  3.96
Mn  0.500  0.500  0.000  3.86
Se  0.500  0.500  0.500  0.03
As  0.000  0.000  0.500  -0.07

Computed, not measured: an optimized crystal structure of GaHgI at the PBE level of DFT.

Calculated volume ... 107 Å³/cell
Polymorph energy (0 for the lowest one) ... 69 meV per atom
Space-group type ... No. 107

a b c (Å): 3.999 3.999 7.268
angles (deg): 105.97 105.97 90.00
Atoms (fractional coordinates):
Ga  0.312  0.312  0.624
I  0.700  0.700  0.400
Hg  0.988  0.988  0.976

Computed, not measured: an optimized crystal structure of Ac4Nd3Tl at the PBE level of DFT.

Calculated formation energy ... -0.0011 eV/atom
Calculated volume ... 308 Å³/cell
Space-group type ... No. 123

a b c (Å): 4.403 4.403 15.909
angles (deg): 90.00 90.00 90.00
Atoms (fractional coordinates):
Ac  0.000  0.000  0.886
Ac  0.000  0.000  0.378
Ac  0.000  0.000  0.114
Ac  0.000  0.000  0.622
Tl  0.500  0.500  0.000
Nd  0.500  0.500  0.252
Nd  0.500  0.500  0.748
Nd  0.500  0.500  0.500

Computed, not measured: an optimized crystal structure of ZnRu3C at the PBE level of DFT.

Calculated formation energy ... 0.1901 eV/atom
Calculated volume ... 65 Å³/cell
Polymorph energy (0 for the lowest one) ... 0 meV per atom
Space-group type ... No. 221

a b c (Å): 4.031 4.031 4.031
angles (deg): 90.00 90.00 90.00
Each line ends with the local moment (μB).
Atoms (fractional coordinates):
C  0.000  0.000  0.000  -0.01
Ru  0.000  0.500  0.000  0.32
Ru  0.500  0.000  0.000  0.28
Ru  0.000  0.000  0.500  0.23
Zn  0.500  0.500  0.500  -0.01

Computed, not measured: an optimized crystal structure of K2BaCo at the PBE level of DFT.

Calculated formation energy ... 0.6338 eV/atom
Calculated volume ... 197 Å³/cell
Polymorph energy (0 for the lowest one) ... 109 meV per atom
Space-group type ... No. 44

a b c (Å): 8.268 8.268 8.268
angles (deg): 151.13 133.30 55.83
Each line ends with the local moment (μB).
Atoms (fractional coordinates):
Ba  0.412  0.412  0.000  -0.14
K  0.742  0.242  0.500  -0.01
K  0.081  0.081  0.000  -0.01
Co  0.265  0.765  0.500  1.59

Computed, not measured: an optimized crystal structure of SrTaGaFe2 at the PBE level of DFT.

Calculated formation energy ... 1.3006 eV/atom
Calculated volume ... 119 Å³/cell
Space-group type ... No. 123

a b c (Å): 4.584 5.651 4.584
angles (deg): 90.00 90.00 90.00
Each line ends with the local moment (μB).
Atoms (fractional coordinates):
Ta  0.000  0.000  0.000  -0.59
Fe  0.000  0.000  0.500  2.00
Fe  0.500  0.000  0.000  1.77
Ga  0.500  0.500  0.500  -0.01
Sr  0.000  0.500  0.000  -0.06

Computed, not measured: an optimized crystal structure of Ho2LuIn at the PBE level of DFT.

Calculated formation energy ... -0.2590 eV/atom
Calculated volume ... 110 Å³/cell
Polymorph energy (0 for the lowest one) ... 0 meV per atom
Space-group type ... No. 123

a b c (Å): 4.793 4.800 4.800
angles (deg): 90.00 90.00 90.00
Atoms (fractional coordinates):
Ho  0.000  0.000  0.500
Ho  0.000  0.500  0.000
Lu  0.500  0.500  0.500
In  0.500  0.000  0.000

Computed, not measured: an optimized crystal structure of Na2CrCl6 at the PBE level of DFT.

Calculated volume ... 434 Å³/cell
Polymorph energy (0 for the lowest one) ... 0 meV per atom
Space-group type ... No. 14

a b c (Å): 6.627 6.949 9.444
angles (deg): 90.00 93.15 90.00
Each line ends with the local moment (μB).
Atoms (fractional coordinates):
Cl  0.126  0.027  0.731  -0.04
Cl  0.718  0.179  0.556  -0.03
Cl  0.874  0.973  0.269  -0.04
Cl  0.337  0.780  0.056  -0.05
Cl  0.782  0.679  0.944  -0.03
Cl  0.663  0.220  0.944  -0.05
Cl  0.282  0.821  0.444  -0.03
Cl  0.374  0.527  0.769  -0.04
Cl  0.626  0.473  0.231  -0.04
Cl  0.218  0.321  0.056  -0.03
Cl  0.837  0.720  0.556  -0.05
Cl  0.163  0.280  0.444  -0.05
Cr  0.000  0.000  0.500  2.13
Cr  0.500  0.500  0.000  2.13
Na  0.466  0.096  0.269  0.00
Na  0.034  0.596  0.231  0.00
Na  0.966  0.404  0.769  0.00
Na  0.534  0.904  0.731  0.00

Question: The highest calculated volume belongs to which entry?
Answer: Na2CrCl6

Question: Look up the calculated volume of the second one.
Answer: 107 Å³/cell

Question: Number 8 is which compound?
Answer: Na2CrCl6

Question: Look up the calculated volume of the first one.
Answer: 73 Å³/cell